This record from Alexandria via LeMat-Bulk describes crystalline FeReSe2 at its relaxed geometry. The functional is PBEsol.

Structure (extended XYZ):
```
4
Lattice="3.028 0.000 0.000 1.514 2.623 0.000 1.514 0.874 7.386" Properties=species:S:1:pos:R:3 pbc="T T T"
Se 4.542 2.623 5.474
Se 1.514 0.874 1.912
Fe 3.028 1.748 3.693
Re 0.000 0.000 0.000
```

relative energy among the computed polymorphs: 0.140 eV/atom
energy relative to the elements, uncorrected: 0.28 eV/atom
uncorrected energy: -28.89 eV per formula unit